Computed, not measured: KNdFeO3 after structural relaxation at the PBE+U level of DFT.

The structure in POSCAR format:
```
KNdFeO3
1.0
3.728 0.000 0.000
0.000 7.487 0.071
0.000 -2.923 8.920
K Nd Fe O
2 2 2 6
Direct
0.750 0.823 0.847
0.250 0.177 0.153
0.250 0.663 0.147
0.750 0.337 0.853
0.250 0.033 0.624
0.750 0.967 0.376
0.250 0.877 0.403
0.750 0.884 0.155
0.750 0.451 0.115
0.750 0.123 0.597
0.250 0.549 0.885
0.250 0.116 0.845
```

Results
The calculation puts the volume at 20.809 Å³ per atom. The total energy is -78.33 eV per cell.